A) LaAgSb2, PBEsol geometry, DFT SCAN; total magnetic moment = 0.000 μB per cell; V = 204 Å³ per cell; symmetry = P4/nmm, No. 129
1.0
-2.406 3.388 -1.362
-3.083 -1.010 2.932
4.772 6.275 7.179
La Sb Ag
2 4 2
Direct
0.000 0.500 0.259
0.500 0.000 0.741
0.000 0.500 0.830
0.500 0.000 0.170
0.000 0.000 0.500
0.500 0.500 0.500
0.000 0.000 0.000
0.500 0.500 0.000

B) LaAgSb2, PBEsol geometry, DFT SCAN; total magnetic moment = 0.000 μB per cell; V = 100 Å³ per cell; symmetry = P4/mmm, No. 123
1.0
-0.277 -4.110 1.555
1.230 -1.699 -4.272
4.588 0.165 1.255
La Sb Ag
1 2 1
Direct
0.500 0.000 0.000
0.000 0.500 0.000
0.000 0.000 0.500
0.500 0.500 0.500

C) LaAgSb2, PBEsol geometry, DFT SCAN; total magnetic moment = 0.000 μB per cell; V = 111 Å³ per cell; symmetry = P2/m, No. 10
1.0
-3.566 1.612 -0.811
-1.929 -2.907 2.703
0.725 4.007 4.827
Sb Ag La
2 1 1
Direct
0.501 0.000 0.740
0.499 0.000 0.260
0.500 0.500 0.000
0.000 0.500 0.500

D) LaAgSb2, PBEsol geometry, DFT SCAN; total magnetic moment = 0.000 μB per cell; V = 104 Å³ per cell; symmetry = P4mm, No. 99
1.0
-2.346 -2.302 -0.812
1.895 -1.008 -2.618
4.117 -6.072 5.319
Sb Ag La
2 1 1
Direct
0.000 0.000 0.986
0.500 0.500 0.300
0.000 0.000 0.485
0.500 0.500 0.729

Tell me which of them is the least stable. Sure, it is D).

A) La2ScAg, PBEsol geometry, DFT SCAN; total magnetic moment = 0.000 μB per cell; V = 108 Å³ per cell; symmetry = Imm2, No. 44
1.0
3.606 0.000 0.000
0.000 5.445 0.000
-1.803 -2.723 5.486
La Sc Ag
2 1 1
Direct
0.980 0.480 0.959
0.754 0.754 0.509
0.534 0.034 0.067
0.233 0.233 0.465

B) La2ScAg, PBEsol geometry, DFT SCAN; total magnetic moment = 0.005 μB per cell; V = 108 Å³ per cell; symmetry = Cmmm, No. 65
1.0
3.551 0.000 0.000
0.000 5.520 0.046
0.000 -0.036 5.520
La Sc Ag
2 1 1
Direct
0.000 0.500 0.000
0.000 0.000 0.500
0.500 0.000 0.000
0.500 0.500 0.500

Tell me which of them is the least stable. Sure, it is B).

A) La2ScAg, PBEsol geometry, DFT SCAN; total magnetic moment = 0.139 μB per cell; V = 106 Å³ per cell; symmetry = P4mm, No. 99
1.0
-2.233 1.775 -2.113
-1.967 -2.931 -0.383
-4.595 2.207 6.710
La Sc Ag
2 1 1
Direct
0.500 0.500 0.272
0.000 0.000 0.966
0.000 0.000 0.547
0.500 0.500 0.716

B) La2ScAg, PBEsol geometry, DFT SCAN; total magnetic moment = 0.015 μB per cell; V = 110 Å³ per cell; symmetry = Pm, No. 6
1.0
3.595 0.000 -0.056
0.000 5.025 0.000
-1.718 0.000 6.117
Sc La Ag
1 2 1
Direct
0.309 0.000 0.496
0.034 0.000 0.942
0.716 0.500 0.308
0.440 0.500 0.753

Tell me which of them is the least stable. Sure, it is B).

A) La2ScAg, PBEsol geometry, DFT SCAN; total magnetic moment = 2.185 μB per cell; V = 101 Å³ per cell; symmetry = F-43m, No. 216
1.0
5.227 0.000 0.000
2.613 4.526 0.000
2.613 1.509 4.267
La Sc Ag
2 1 1
Direct
0.000 0.000 0.000
0.250 0.250 0.250
0.750 0.750 0.750
0.500 0.500 0.500

B) La2ScAg, PBEsol geometry, DFT SCAN; total magnetic moment = 0.000 μB per cell; V = 106 Å³ per cell; symmetry = Immm, No. 71
1.0
3.714 0.000 0.000
0.000 5.363 0.000
-1.857 -2.681 5.306
La Ag Sc
2 1 1
Direct
0.733 0.733 0.466
0.267 0.267 0.534
0.000 0.500 0.000
0.500 0.000 0.000

Tell me which of them is the least stable. Sure, it is A).

A) LaScAg, PBEsol geometry, DFT SCAN; total magnetic moment = 0.000 μB per cell; V = 81 Å³ per cell; symmetry = F-43m, No. 216
1.0
4.850 0.000 0.000
2.425 4.201 0.000
2.425 1.400 3.960
La Ag Sc
1 1 1
Direct
0.250 0.250 0.250
0.500 0.500 0.500
0.000 0.000 0.000

B) LaScAg, PBEsol geometry, DFT SCAN; total magnetic moment = 0.000 μB per cell; V = 76 Å³ per cell; symmetry = P-6m2, No. 187
1.0
3.695 0.000 0.000
0.000 4.865 0.000
0.000 -2.432 4.213
Sc Ag La
1 1 1
Direct
0.166 0.667 0.333
0.167 0.000 0.000
0.666 0.333 0.667

Tell me which of them is the least stable. Sure, it is A).

A) LaSc2Ag, PBEsol geometry, DFT SCAN; total magnetic moment = 1.247 μB per cell; V = 96 Å³ per cell; symmetry = P4/mmm, No. 123
1.0
4.509 0.000 0.000
0.000 4.509 0.000
0.000 0.000 4.716
La Ag Sc
1 1 2
Direct
0.000 0.000 0.500
0.500 0.500 0.500
0.500 0.000 0.000
0.000 0.500 0.000

B) LaSc2Ag, PBEsol geometry, DFT SCAN; total magnetic moment = 0.015 μB per cell; V = 94 Å³ per cell; symmetry = P4/mmm, No. 123
1.0
-3.440 0.135 -0.301
0.122 -2.411 -2.473
-0.699 -5.647 5.471
Sc La Ag
2 1 1
Direct
0.000 0.000 0.204
0.000 0.000 0.796
0.500 0.500 0.500
0.500 0.500 0.000

C) LaSc2Ag, PBEsol geometry, DFT SCAN; total magnetic moment = 0.631 μB per cell; V = 98 Å³ per cell; symmetry = Immm, No. 71
1.0
-2.714 -1.968 0.695
-0.911 -0.588 -5.224
4.962 -3.085 2.207
Sc Ag La
2 1 1
Direct
0.780 0.780 0.560
0.220 0.220 0.440
0.500 0.000 0.000
0.000 0.500 0.000

Tell me which of them is the least stable. Sure, it is A).

A) LaScAg2, PBEsol geometry, DFT SCAN; total magnetic moment = 0.000 μB per cell; V = 92 Å³ per cell; symmetry = Immm, No. 71
1.0
-3.320 -3.146 -2.211
0.694 -1.455 -4.809
1.336 -4.782 -1.039
La Ag Sc
1 2 1
Direct
0.000 0.500 0.500
0.251 0.749 0.749
0.749 0.251 0.251
0.500 0.000 0.000

B) LaScAg2, PBEsol geometry, DFT SCAN; total magnetic moment = 0.001 μB per cell; V = 91 Å³ per cell; symmetry = Cmmm, No. 65
1.0
-2.844 1.953 -0.010
-1.414 -2.037 4.498
2.537 3.708 2.488
Sc La Ag
1 1 2
Direct
0.500 0.500 0.500
0.500 0.000 0.000
0.000 0.500 0.000
0.000 0.000 0.500

Tell me which of them is the least stable. Sure, it is B).

A) LaSc2Ag2, PBEsol geometry, DFT SCAN; total magnetic moment = 0.001 μB per cell; V = 121 Å³ per cell; symmetry = I4/mmm, No. 139
1.0
4.638 0.000 0.000
0.000 4.638 0.000
-2.319 -2.319 5.631
Sc La Ag
2 1 2
Direct
0.750 0.250 0.500
0.250 0.750 0.500
0.000 0.000 0.000
0.616 0.616 0.232
0.384 0.384 0.768

B) LaSc2Ag2, PBEsol geometry, DFT SCAN; total magnetic moment = 0.000 μB per cell; V = 227 Å³ per cell; symmetry = P4/mbm, No. 127
1.0
3.459 0.000 0.000
0.000 8.100 0.000
0.000 0.000 8.100
La Ag Sc
2 4 4
Direct
0.000 0.000 0.000
0.000 0.500 0.500
0.000 0.375 0.875
0.000 0.625 0.125
0.000 0.125 0.375
0.000 0.875 0.625
0.500 0.661 0.839
0.500 0.161 0.661
0.500 0.839 0.339
0.500 0.339 0.161

Tell me which of them is the least stable. Sure, it is B).

A) SrLa2Ag, PBEsol geometry, DFT SCAN; total magnetic moment = 0.000 μB per cell; V = 125 Å³ per cell; symmetry = C2/m, No. 12
1.0
-2.384 -2.678 0.263
4.739 -3.319 0.671
-1.444 3.816 5.458
Ag La Sr
1 2 1
Direct
0.500 0.000 0.000
0.500 0.500 0.500
0.000 0.000 0.500
0.000 0.500 0.000

B) SrLa2Ag, PBEsol geometry, DFT SCAN; total magnetic moment = 0.000 μB per cell; V = 131 Å³ per cell; symmetry = P4mm, No. 99
1.0
-1.191 2.577 2.454
0.817 -2.320 2.834
8.584 3.553 0.435
Sr Ag La
1 1 2
Direct
0.000 0.000 0.552
0.500 0.500 0.770
0.000 0.000 0.959
0.500 0.500 0.219

Tell me which of them is the least stable. Sure, it is A).

A) Sr2LaAg, PBEsol geometry, DFT SCAN; total magnetic moment = 0.289 μB per cell; V = 148 Å³ per cell; symmetry = P4mm, No. 99
1.0
3.858 0.000 0.000
0.000 3.858 0.000
0.000 0.000 9.922
La Sr Ag
1 2 1
Direct
0.000 0.000 0.682
0.500 0.500 0.984
0.000 0.000 0.318
0.500 0.500 0.515

B) Sr2LaAg, PBEsol geometry, DFT SCAN; total magnetic moment = 0.186 μB per cell; V = 132 Å³ per cell; symmetry = Fm-3m, No. 225
1.0
-3.037 -3.168 3.660
2.627 -2.728 4.279
-0.727 1.765 5.386
Sr La Ag
2 1 1
Direct
0.750 0.750 0.750
0.250 0.250 0.250
0.500 0.500 0.500
0.000 0.000 0.000

Tell me which of them is the least stable. Sure, it is B).

A) LaTc2Ag, PBEsol geometry, DFT SCAN; total magnetic moment = 0.000 μB per cell; V = 85 Å³ per cell; symmetry = R3m, No. 160
1.0
4.232 0.000 0.000
2.116 3.665 0.000
2.116 1.222 5.455
La Tc Ag
1 2 1
Direct
0.252 0.252 0.244
0.727 0.727 0.820
0.048 0.048 0.857
0.468 0.468 0.595

B) LaTc2Ag, PBEsol geometry, DFT SCAN; total magnetic moment = 0.000 μB per cell; V = 73 Å³ per cell; symmetry = Pmmm, No. 47
1.0
3.308 0.000 0.000
0.000 4.631 0.000
0.000 0.000 4.771
Tc Ag La
2 1 1
Direct
0.000 0.000 0.000
0.500 0.500 0.000
0.500 0.000 0.500
0.000 0.500 0.500

C) LaTc2Ag, PBEsol geometry, DFT SCAN; total magnetic moment = 0.000 μB per cell; V = 87 Å³ per cell; symmetry = C2/m, No. 12
1.0
3.826 0.000 0.000
-1.913 4.670 0.025
0.000 -1.845 4.871
La Ag Tc
1 1 2
Direct
0.000 0.000 0.500
0.500 0.000 0.000
0.230 0.459 0.110
0.770 0.541 0.890

Tell me which of them is the least stable. Sure, it is B).

A) LaTlAg2, PBEsol geometry, DFT SCAN; total magnetic moment = 0.000 μB per cell; V = 91 Å³ per cell; symmetry = Fm-3m, No. 225
1.0
5.043 0.000 0.000
2.522 4.368 0.000
2.522 1.456 4.118
La Ag Tl
1 2 1
Direct
0.000 0.000 0.000
0.250 0.250 0.250
0.750 0.750 0.750
0.500 0.500 0.500

B) LaTlAg2, PBEsol geometry, DFT SCAN; total magnetic moment = 0.000 μB per cell; V = 97 Å³ per cell; symmetry = Pmmm, No. 47
1.0
3.374 0.000 0.000
0.000 4.836 0.000
0.000 0.000 5.923
Ag Tl La
2 1 1
Direct
0.000 0.000 0.241
0.000 0.000 0.759
0.000 0.500 0.500
0.500 0.500 0.000

C) LaTlAg2, PBEsol geometry, DFT SCAN; total magnetic moment = 0.000 μB per cell; V = 92 Å³ per cell; symmetry = F-43m, No. 216
1.0
5.060 0.000 0.000
2.530 4.382 0.000
2.530 1.461 4.133
Tl La Ag
1 1 2
Direct
0.749 0.749 0.753
0.499 0.499 0.503
0.249 0.249 0.253
0.999 0.999 0.004

Tell me which of them is the least stable. Sure, it is B).